[1]
This record from Alexandria via LeMat-Bulk describes a relaxed structure of Tb4DyEr. The functional is GGA-PBE.

Summary:
* calculated volume: 32.9 Å³/atom
* total magnetic moment: 0.01 μB/f.u.
* VASP energy: -4.35 eV per atom
* crystal system: cubic
* Fermi-level density of states: 1.56 states/eV per atom

Lattice parameters (Å, degrees): 9.246 9.246 9.246 90.00 90.00 90.00
Space group F-43m (No. 216)
Symmetry-distinct sites (fractional):
Tb 0.125 0.125 0.125 [16 per cell]
Dy 0.000 0.000 0.500 [4 per cell]
Er 0.250 0.250 0.750 [4 per cell]

[2]
This record from Alexandria via LeMat-Bulk describes a relaxed structure of SrSc2Mn. The functional is GGA-PBE.

Summary:
* calculated volume: 25.1 Å³/atom
* total magnetic moment: 1.28 μB/f.u.
* VASP energy: -5.68 eV per atom
* crystal system: tetragonal
* Fermi-level density of states: 1.28 states/eV per atom

Lattice parameters (Å, degrees): 3.289 3.289 9.288 90.00 90.00 90.00
Space group P4/mmm (No. 123)
Symmetry-distinct sites (fractional):
Sr 0.000 0.000 0.000 [1 per cell]
Sc 0.500 0.500 0.337 [2 per cell]
Mn 0.000 0.000 0.500 [1 per cell]

[3]
This record from Alexandria via LeMat-Bulk describes a relaxed structure of SmHo4Tm5. The functional is GGA-PBE.

Summary:
* calculated volume: 32.2 Å³/atom
* total magnetic moment: 0.00 μB/f.u.
* VASP energy: -4.35 eV per atom
* crystal system: monoclinic
* Fermi-level density of states: 1.22 states/eV per atom

Lattice parameters (Å, degrees): 17.010 3.500 10.817 90.00 90.24 90.00
Space group C2/m (No. 12)
Symmetry-distinct sites (fractional):
Sm 0.000 0.000 0.000 [2 per cell]
Ho 0.027 0.500 0.748 [4 per cell]
Ho 0.153 0.000 0.250 [4 per cell]
Tm 0.000 0.000 0.500 [2 per cell]
Tm 0.173 0.500 0.550 [4 per cell]
Tm 0.174 0.500 0.947 [4 per cell]

[4]
This record from Alexandria via LeMat-Bulk describes a relaxed structure of Ce3ErPt3. The functional is GGA-PBE.

Summary:
* calculated volume: 24.8 Å³/atom
* total magnetic moment: 2.22 μB/f.u.
* VASP energy: -6.67 eV per atom
* crystal system: monoclinic
* Fermi-level density of states: 2.07 states/eV per atom

Lattice parameters (Å, degrees): 8.960 10.703 7.242 90.00 90.14 90.00
Space group C2/m (No. 12)
Symmetry-distinct sites (fractional):
Ce 0.000 0.176 0.000 [4 per cell]
Ce 0.000 0.247 0.500 [4 per cell]
Ce 0.126 0.500 0.120 [4 per cell]
Er 0.248 0.000 0.370 [4 per cell]
Pt 0.075 0.000 0.700 [4 per cell]
Pt 0.244 0.255 0.770 [8 per cell]

[5]
This record from Alexandria via LeMat-Bulk describes a relaxed structure of BaAcTlIn. The functional is GGA-PBE.

Summary:
* calculated volume: 37.2 Å³/atom
* total magnetic moment: 0.00 μB/f.u.
* VASP energy: -3.18 eV per atom
* crystal system: tetragonal
* Fermi-level density of states: 0.76 states/eV per atom

Lattice parameters (Å, degrees): 4.198 4.198 8.443 90.00 90.00 90.00
Space group P4mm (No. 99)
Symmetry-distinct sites (fractional):
Ba 0.000 0.000 0.000 [1 per cell]
Ac 0.000 0.000 0.509 [1 per cell]
Tl 0.500 0.500 0.275 [1 per cell]
In 0.500 0.500 0.735 [1 per cell]